1.
{"formula": "RbCCl2", "functional": "PBE-GGA", "state": "relaxed", "cell": [[0.0000, 3.6847, 3.6847], [3.6847, 0.0000, 3.6847], [3.6847, 3.6847, 0.0000]], "species": ["Rb", "C", "Cl", "Cl"], "fractional_positions": [[0.0000, 0.0000, 0.0000], [0.5000, 0.5000, 0.5000], [0.2500, 0.2500, 0.2500], [0.7500, 0.7500, 0.7500]], "polymorph_energy_mev_per_atom": 467, "spacegroup": "Fm-3m, No. 225", "formation_energy_uncorrected_ev_per_atom": 0.8902}


2.
{"formula": "Tb6Ce2PmHo3", "functional": "PBE-GGA", "state": "relaxed", "cell": [[3.0742, -5.3252, 0.0000], [3.0742, 5.3252, 0.0000], [-2.0511, 0.0000, 11.5959]], "species": ["Tb", "Tb", "Tb", "Tb", "Tb", "Tb", "Ce", "Ce", "Pm", "Ho", "Ho", "Ho"], "fractional_positions": [[0.0797, 0.4158, 0.7495], [0.2481, 0.2481, 0.2506], [0.4158, 0.0797, 0.7495], [0.5842, 0.9203, 0.2505], [0.7519, 0.7519, 0.7494], [0.9203, 0.5842, 0.2505], [0.1667, 0.8333, 0.0000], [0.8333, 0.1667, 0.0000], [0.5000, 0.5000, 0.0000], [0.0000, 0.0000, 0.5000], [0.3337, 0.6663, 0.5000], [0.6663, 0.3337, 0.5000]], "energy_ev_per_atom": -4.795, "spacegroup": "C2/m, No. 12"}


3.
{"formula": "Na2UNiAs2", "functional": "PBE-GGA", "state": "relaxed", "cell": [[4.2844, 0.0000, 0.0000], [0.0000, 8.3309, 0.0000], [0.0000, 0.0000, 6.9908]], "species": ["Na", "Na", "Na", "Na", "U", "U", "Ni", "Ni", "As", "As", "As", "As"], "fractional_positions": [[0.0000, 0.1001, 0.0000], [0.0000, 0.8999, 0.5000], [0.5000, 0.1375, 0.3438], [0.5000, 0.8625, 0.8438], [0.5000, 0.4720, 0.0082], [0.5000, 0.5280, 0.5082], [0.0000, 0.3480, 0.6457], [0.0000, 0.6520, 0.1457], [0.0000, 0.3785, 0.2810], [0.0000, 0.6215, 0.7810], [0.5000, 0.2084, 0.7425], [0.5000, 0.7916, 0.2425]], "energy_ev_per_atom": -5.296, "spacegroup": "Pmc2_1, No. 26"}


4.
{"formula": "RbHf3Sb", "functional": "PBE-GGA", "state": "relaxed", "cell": [[5.4629, 0.0000, 0.0000], [0.0000, 5.4629, 0.0000], [0.0000, 0.0000, 5.4629]], "species": ["Rb", "Hf", "Hf", "Hf", "Sb"], "fractional_positions": [[0.0000, 0.0000, 0.0000], [0.0000, 0.5000, 0.5000], [0.5000, 0.0000, 0.5000], [0.5000, 0.5000, 0.0000], [0.5000, 0.5000, 0.5000]], "polymorph_energy_mev_per_atom": 0, "spacegroup": "Pm-3m, No. 221", "formation_energy_uncorrected_ev_per_atom": 1.1556}


no.,density of states at the Fermi level (states/eV per atom)
1,1.802
2,1.874
3,0.759
4,1.602